1.
Material: MgH2ClF
Method: DFT, PBE
State: relaxed

Total energy: -13.98 eV/cell
Crystal system: tetragonal

Lattice parameters (Å, degrees): 4.3650 4.3650 3.6787 90.00 90.00 90.00
Space group P4/mmm (No. 123)
Inequivalent atoms, fractional coordinates:
Mg 0.0000 0.0000 0.0000
H 0.0000 0.5000 0.0000
Cl 0.5000 0.5000 0.5000
F 0.0000 0.0000 0.5000

---

2.
Material: Be2VNi
Method: DFT, PBE
State: relaxed

Energy relative to the elements: 1.11 eV/f.u.
Relative energy among the computed polymorphs: 533 meV/atom
Crystal system: trigonal

Lattice parameters (Å, degrees): 2.4498 2.4498 25.3268 90.00 90.00 120.00
Space group R-3m (No. 166, hexagonal axes)
Inequivalent atoms, fractional coordinates:
Be 0.0000 0.0000 0.0968
V 0.0000 0.0000 0.0000
Ni 0.0000 0.0000 0.5000

---

3.
Material: RbCuI3
Method: DFT, PBE
State: relaxed

ΔE_f (raw): -292 kJ/mol of formula units
Crystal system: orthorhombic

Lattice parameters (Å, degrees): 9.9975 4.4789 9.1853 90.00 90.00 90.00
Space group Pmma (No. 51)
Inequivalent atoms, fractional coordinates:
Rb 0.2500 0.0000 0.0604
Cu 0.2500 0.5000 0.6423
I 0.0387 0.5000 0.8085
I 0.2500 0.0000 0.5005